1.
Ac8MgIr2 | the Alexandria database | PBE | optimized geometry; crystal system = monoclinic; size of the total moment = 0.000 μB/atom; energy relative to the elements = -0.21 eV/atom; calculated total energy = -4.955 eV per atom
1.0
-1.6746 -4.8758 3.3581
8.5644 -0.4441 1.7157
-4.4401 5.9894 4.5717
Ac Mg Ir
8 1 2
Direct
0.7941 0.6076 0.6076
0.4278 0.9251 0.6647
0.5720 0.0808 0.3412
0.9999 0.2533 0.7527
0.2066 0.3990 0.3990
0.5720 0.3412 0.0808
0.4278 0.6647 0.9251
0.9999 0.7527 0.2533
0.0001 0.0037 0.0037
0.4998 0.2955 0.7103
0.4998 0.7103 0.2955



2.
NaAcMgIr | the Alexandria database | PBE | optimized geometry; crystal system = cubic; size of the total moment = 0.000 μB/atom; energy relative to the elements = -0.10 eV/atom; calculated total energy = -4.066 eV per atom
1.0
5.1374 0.0000 0.0000
2.5687 4.4491 0.0000
2.5687 1.4830 4.1946
Ac Ir Na Mg
1 1 1 1
Direct
0.2500 0.2500 0.2500
0.0000 0.0000 0.0000
0.5000 0.5000 0.5000
0.7500 0.7500 0.7500